LiHo2Te4 | GGA-PBE | relaxed

Calculated values
symmetry = C2/m (12)
energy = -4.54 eV/atom
crystal system = monoclinic
energy relative to the elements, uncorrected = -1.17 eV/atom

a b c (Å): 15.954 4.252 7.404
angles (deg): 90.00 117.44 90.00
Positions (direct):
Li 0.000 0.000 0.000
Li 0.500 0.500 0.000
Ho 0.245 0.500 0.741
Ho 0.255 0.000 0.259
Ho 0.745 0.000 0.741
Ho 0.755 0.500 0.259
Te 0.119 0.000 0.448
Te 0.124 0.500 0.962
Te 0.376 0.000 0.038
Te 0.381 0.500 0.552
Te 0.619 0.500 0.448
Te 0.624 0.000 0.962
Te 0.876 0.500 0.038
Te 0.881 0.000 0.552